No. 1
Compound: HfSn3Sb
Source: Alexandria
Functional: PBE-GGA
Structure: optimized geometry

Cell lengths 5.543, 5.543, 5.543 Å; angles 90.00, 90.00, 90.00 degrees
Space group Pm-3m (No. 221)
Symmetry-distinct sites (fractional):
Hf 0.000 0.000 0.000 (multiplicity 1)
Sn 0.000 0.000 0.500 (multiplicity 3)
Sb 0.500 0.500 0.500 (multiplicity 1)

- V: 34.07 A^3/atom
- Crystal system: cubic
- Magnetic moment: 0.00 μB/f.u.
- Formation energy (no corrections): 0.507 eV/atom


No. 2
Compound: La3Y8Th2
Source: Alexandria
Functional: PBE-GGA
Structure: optimized geometry

Cell lengths 20.801, 7.457, 5.823 Å; angles 90.00, 90.13, 90.00 degrees
Space group C2/m (No. 12)
Symmetry-distinct sites (fractional):
La 0.000 0.000 0.000 (multiplicity 2)
La 0.000 0.290 0.500 (multiplicity 4)
Y 0.111 0.284 0.999 (multiplicity 8)
Y 0.143 0.000 0.498 (multiplicity 4)
Y 0.173 0.500 0.501 (multiplicity 4)
Th 0.245 0.000 0.997 (multiplicity 4)

- V: 34.74 A^3/atom
- Crystal system: monoclinic
- Energy of formation: 0.280 eV per atom
- Magnetic moment: 0.00 μB/f.u.


No. 3
Compound: DyPaSe4
Source: Alexandria
Functional: PBE-GGA
Structure: optimized geometry

Cell lengths 9.262, 9.437, 4.279 Å; angles 90.00, 90.00, 90.00 degrees
Space group Cmmm (No. 65)
Symmetry-distinct sites (fractional):
Dy 0.000 0.000 0.000 (multiplicity 2)
Pa 0.000 0.500 0.500 (multiplicity 2)
Se 0.000 0.309 0.000 (multiplicity 4)
Se 0.202 0.000 0.500 (multiplicity 4)

- V: 31.17 A^3/atom
- Crystal system: orthorhombic
- Magnetic moment: 0.08 μB/f.u.
- Formation energy (no corrections): -1.462 eV/atom


No. 4
Compound: CaErSn2
Source: Alexandria
Functional: PBE-GGA
Structure: optimized geometry

Cell lengths 3.473, 3.473, 8.940 Å; angles 90.00, 90.00, 90.00 degrees
Space group P4/mmm (No. 123)
Symmetry-distinct sites (fractional):
Ca 0.000 0.000 0.000 (multiplicity 1)
Er 0.000 0.000 0.500 (multiplicity 1)
Sn 0.500 0.500 0.258 (multiplicity 2)

- V: 26.96 A^3/atom
- Crystal system: tetragonal
- Energy of formation: -0.617 eV per atom
- Magnetic moment: 0.00 μB/f.u.


No. 5
Compound: La2MgPdO
Source: Alexandria
Functional: PBE-GGA
Structure: optimized geometry

Cell lengths 5.063, 5.063, 4.254 Å; angles 90.00, 90.00, 90.00 degrees
Space group P4/mmm (No. 123)
Symmetry-distinct sites (fractional):
La 0.000 0.500 0.000 (multiplicity 2)
Mg 0.000 0.000 0.500 (multiplicity 1)
Pd 0.500 0.500 0.500 (multiplicity 1)
O 0.000 0.000 0.000 (multiplicity 1)

- V: 21.81 A^3/atom
- Crystal system: tetragonal
- Magnetic moment: 0.00 μB/f.u.
- Formation energy (no corrections): -1.309 eV/atom


No. 6
Compound: SrCu12Si7
Source: Alexandria
Functional: PBE-GGA
Structure: optimized geometry

Cell lengths 12.4840, 12.4840, 6.2856 Å; angles 90.00, 90.00, 120.00 degrees
Space group R-3m (No. 166, hexagonal axes)
Symmetry-distinct sites (fractional):
Sr 0.0000 0.0000 0.0000 (multiplicity 3)
Cu 0.0000 0.2611 0.0000 (multiplicity 18)
Cu 0.1104 0.2208 0.3163 (multiplicity 18)
Si 0.0000 0.0000 0.5000 (multiplicity 3)
Si 0.0977 0.5488 0.3693 (multiplicity 18)

- V: 14.14 A^3/atom
- Crystal system: trigonal
- Magnetic moment: 0.00 μB/f.u.
- Formation energy (no corrections): 0.034 eV/atom